An optimized crystal structure of LaPr6In2. Source: Alexandria via LeMat-Bulk, functional PBE.

Values from the calculation:
Total magnetic moment ... 0.00 μB per atom
SG ... No. 63
Relative energy among the computed polymorphs ... 0.128 eV/atom
D(E_F) ... 22.51 states/eV per cell

Unit cell a=5.421 b=11.154 c=11.154 alpha=66.46 beta=90.00 gamma=90.00
Sites, in units of the cell vectors:
In  0.750  0.792  0.628
Pr  0.250  0.953  0.641
In  0.250  0.208  0.372
Pr  0.250  0.359  0.047
Pr  0.750  0.280  0.523
Pr  0.750  0.991  0.824
La  0.250  0.231  0.769
La  0.750  0.769  0.231
Pr  0.250  0.523  0.280
Pr  0.250  0.720  0.477
Pr  0.750  0.477  0.720
Pr  0.250  0.824  0.991
Pr  0.750  0.047  0.359
In  0.750  0.372  0.208
Pr  0.250  0.009  0.176
Pr  0.750  0.176  0.009
Pr  0.750  0.641  0.953
In  0.250  0.628  0.792

An optimized crystal structure of PuURh4. Source: Alexandria via LeMat-Bulk, functional PBE.

Values from the calculation:
Total magnetic moment ... 1.14 μB per atom
SG ... No. 216
Relative energy among the computed polymorphs ... 0.000 eV/atom
D(E_F) ... 13.61 states/eV per cell

Unit cell a=5.306 b=5.306 c=5.306 alpha=60.00 beta=60.00 gamma=60.00
Each line ends with the local moment (μB).
Sites, in units of the cell vectors:
Rh  0.625  0.125  0.625  -0.18
Rh  0.625  0.625  0.625  -0.18
Rh  0.125  0.625  0.625  -0.18
Pu  0.250  0.250  0.250  5.11
U  0.000  0.000  0.000  2.02
Rh  0.625  0.625  0.125  -0.18

An optimized crystal structure of Hf2CdIr. Source: Alexandria via LeMat-Bulk, functional PBE.

Values from the calculation:
Total magnetic moment ... 0.00 μB per atom
SG ... No. 123
D(E_F) ... 2.51 states/eV per cell
Electronic total energy ... -31.4 eV per cell

Unit cell a=3.302 b=3.302 c=7.135 alpha=90.00 beta=90.00 gamma=90.00
Sites, in units of the cell vectors:
Cd  0.500  0.500  0.500
Hf  0.000  0.000  0.777
Hf  0.000  0.000  0.223
Ir  0.500  0.500  0.000

An optimized crystal structure of YAlZn4Ag2. Source: Alexandria via LeMat-Bulk, functional PBE.

Values from the calculation:
Total magnetic moment ... 0.00 μB per atom
SG ... No. 166
D(E_F) ... 2.61 states/eV per cell
Electronic total energy ... -21.9 eV per cell

Unit cell a=4.401 b=4.401 c=9.069 alpha=75.96 beta=75.96 gamma=60.00
Sites, in units of the cell vectors:
Zn  0.125  0.125  0.625
Y  0.000  0.000  0.000
Zn  0.606  0.606  0.183
Al  0.500  0.500  0.500
Zn  0.875  0.875  0.375
Ag  0.244  0.244  0.267
Zn  0.394  0.394  0.817
Ag  0.756  0.756  0.733

An optimized crystal structure of CaTbYTl. Source: Alexandria via LeMat-Bulk, functional PBE.

Values from the calculation:
Total magnetic moment ... 0.00 μB per atom
SG ... No. 216
D(E_F) ... 4.08 states/eV per cell
Electronic total energy ... -15.7 eV per cell

Unit cell a=5.526 b=5.526 c=5.526 alpha=60.00 beta=60.00 gamma=60.00
Sites, in units of the cell vectors:
Ca  0.250  0.250  0.250
Tl  0.750  0.750  0.750
Y  0.500  0.500  0.500
Tb  0.000  0.000  0.000

An optimized crystal structure of Nb2HPd. Source: Alexandria via LeMat-Bulk, functional PBE.

Values from the calculation:
Total magnetic moment ... 0.00 μB per atom
SG ... No. 160
Relative energy among the computed polymorphs ... 0.000 eV/atom
D(E_F) ... 2.30 states/eV per cell

Unit cell a=2.925 b=2.925 c=7.437 alpha=78.66 beta=78.66 gamma=60.00
Sites, in units of the cell vectors:
Nb  0.062  0.062  0.815
H  0.668  0.668  0.997
Pd  0.499  0.499  0.502
Nb  0.272  0.272  0.185

An optimized crystal structure of Ac2AlRu. Source: Alexandria via LeMat-Bulk, functional PBE.

Values from the calculation:
Total magnetic moment ... 0.00 μB per atom
SG ... No. 8
D(E_F) ... 3.70 states/eV per cell
Electronic total energy ... -22.4 eV per cell

Unit cell a=4.065 b=4.614 c=8.077 alpha=72.42 beta=75.42 gamma=63.86
Sites, in units of the cell vectors:
Ac  0.862  0.714  0.562
Ac  0.705  0.494  0.097
Al  0.478  0.216  0.828
Ru  0.166  0.838  0.830

An optimized crystal structure of Ca2PmF8. Source: Alexandria via LeMat-Bulk, functional PBE.

Values from the calculation:
Total magnetic moment ... 0.09 μB per atom
SG ... No. 71
Relative energy among the computed polymorphs ... 0.022 eV/atom
Raw formation energy ... -3.55 eV per atom

Unit cell a=3.936 b=6.016 c=6.883 alpha=115.92 beta=106.62 gamma=90.00
Each line ends with the local moment (μB).
Sites, in units of the cell vectors:
F  0.000  0.330  0.000  0.34
F  0.339  0.572  0.677  0.01
Pm  0.500  0.000  0.000  -0.01
F  0.000  0.670  0.000  0.34
Ca  0.814  0.314  0.628  0.00
F  0.884  0.884  0.768  0.13
F  0.339  0.105  0.677  0.01
F  0.661  0.895  0.323  0.01
F  0.661  0.428  0.323  0.01
F  0.116  0.116  0.232  0.13
Ca  0.186  0.686  0.372  0.00

An optimized crystal structure of GdHfCuAu. Source: Alexandria via LeMat-Bulk, functional PBE.

Values from the calculation:
Total magnetic moment ... 1.94 μB per atom
SG ... No. 216
D(E_F) ... 4.07 states/eV per cell
Electronic total energy ... -32.5 eV per cell

Unit cell a=4.888 b=4.888 c=4.888 alpha=60.00 beta=60.00 gamma=60.00
Each line ends with the local moment (μB).
Sites, in units of the cell vectors:
Cu  0.250  0.250  0.250  -0.02
Hf  0.500  0.500  0.500  -0.27
Au  0.750  0.750  0.750  -0.03
Gd  0.000  0.000  0.000  -7.12

An optimized crystal structure of LaGa3Si. Source: Alexandria via LeMat-Bulk, functional PBE.

Values from the calculation:
Total magnetic moment ... 0.00 μB per atom
SG ... No. 221
Relative energy among the computed polymorphs ... 0.000 eV/atom
D(E_F) ... 2.61 states/eV per cell
Raw formation energy ... -0.05 eV per atom

Unit cell a=4.899 b=4.899 c=4.899 alpha=90.00 beta=90.00 gamma=90.00
Sites, in units of the cell vectors:
Si  0.000  0.000  0.000
Ga  0.500  0.000  0.000
Ga  0.000  0.500  0.000
La  0.500  0.500  0.500
Ga  0.000  0.000  0.500

An optimized crystal structure of TlCu2Ni2. Source: Alexandria via LeMat-Bulk, functional PBE.

Values from the calculation:
Total magnetic moment ... 0.00 μB per atom
SG ... No. 127
Relative energy among the computed polymorphs ... 0.000 eV/atom
D(E_F) ... 5.77 states/eV per cell

Unit cell a=6.854 b=6.854 c=3.003 alpha=90.00 beta=90.00 gamma=90.00
Sites, in units of the cell vectors:
Ni  0.629  0.129  0.000
Ni  0.129  0.371  0.000
Ni  0.371  0.871  0.000
Tl  0.000  0.000  0.000
Cu  0.840  0.340  0.500
Tl  0.500  0.500  0.000
Ni  0.871  0.629  0.000
Cu  0.340  0.160  0.500
Cu  0.160  0.660  0.500
Cu  0.660  0.840  0.500

An optimized crystal structure of Zn2TeBr. Source: Alexandria via LeMat-Bulk, functional PBE.

Values from the calculation:
Total magnetic moment ... 0.00 μB per atom
SG ... No. 38
Relative energy among the computed polymorphs ... 0.000 eV/atom
D(E_F) ... 0.84 states/eV per cell
Raw formation energy ... -0.27 eV per atom

Unit cell a=5.561 b=4.341 c=4.341 alpha=78.46 beta=90.00 gamma=90.00
Sites, in units of the cell vectors:
Zn  0.000  0.884  0.883
Br  0.000  0.404  0.404
Zn  0.500  0.308  0.308
Te  0.500  0.904  0.905